A plane-wave DFT calculation with PBE was carried out for crystalline FeH8Pd6 at its relaxed geometry.

Unit cell a=2.9260 b=7.2939 c=7.2939 alpha=120.00 beta=90.00 gamma=90.00
Last column: nearest neighbours and their distance in Å.
Sites, in units of the cell vectors:
H1 0.7266 0.7464 0.7299  3 Pd 1.77-1.85
H2 0.5507 0.6667 0.3333  3 Pd 1.82
H3 0.2734 0.2536 0.2701  3 Pd 1.77-1.85
H4 0.4493 0.3333 0.6667  3 Pd 1.82
H5 0.7266 0.2701 0.0165  3 Pd 1.77-1.85
H6 0.2734 0.7299 0.9835  3 Pd 1.77-1.85
H7 0.2734 0.0165 0.7464  3 Pd 1.77-1.85
H8 0.7266 0.9835 0.2536  3 Pd 1.77-1.85
Pd1 0.2333 0.5834 0.7037  4 H 1.77-1.85
Pd2 0.7667 0.7037 0.1202  4 H 1.77-1.85
Pd3 0.7667 0.4166 0.2963  4 H 1.77-1.85
Pd4 0.2333 0.1202 0.4166  4 H 1.77-1.85
Pd5 0.7667 0.8798 0.5834  4 H 1.77-1.85
Pd6 0.2333 0.2963 0.8798  4 H 1.77-1.85
Fe1 0.5000 0.0000 0.0000  6 H 2.02

Computed properties:
DOS(E_F) in states/eV per cell: 5.32
Calculated total energy in eV/atom: -4.40
Crystal system: trigonal